# 1
First-principles (PBE) data for crystalline Co2IrCl at its relaxed geometry, as listed in Alexandria.

Cell lengths 7.800, 2.792, 7.324 Å; angles 90.00, 121.65, 90.00 degrees
Space group C2/m (No. 12)
Unique sites:
Co (0.133, 0.000, 0.317) (multiplicity 4)
Ir (0.000, 0.500, 0.500) (multiplicity 2)
Cl (0.000, 0.500, 0.000) (multiplicity 2)

Values from the calculation:
Formation energy without anion corrections (meV per atom): 420



# 2
First-principles (PBE) data for crystalline Dy2Pd8Au3 at its relaxed geometry, as listed in Alexandria.

Cell lengths 13.660, 7.081, 4.955 Å; angles 90.00, 90.97, 90.00 degrees
Space group C2/m (No. 12)
Unique sites:
Dy (0.159, 0.000, 0.212) (multiplicity 4)
Pd (0.055, 0.000, 0.723) (multiplicity 4)
Pd (0.171, 0.299, 0.671) (multiplicity 8)
Pd (0.190, 0.500, 0.188) (multiplicity 4)
Au (0.000, 0.308, 0.000) (multiplicity 4)
Au (0.000, 0.500, 0.500) (multiplicity 2)

Values from the calculation:
Calculated formation energy (eV per atom): -0.403



# 3
First-principles (PBE) data for crystalline Ba2Ge4Pd3 at its relaxed geometry, as listed in Alexandria.

Cell lengths 5.673, 11.151, 12.873 Å; angles 90.00, 90.00, 90.00 degrees
Space group Fmmm (No. 69)
Unique sites:
Ba (0.000, 0.000, 0.141) (multiplicity 8)
Ge (0.000, 0.185, 0.346) (multiplicity 16)
Pd (0.000, 0.000, 0.500) (multiplicity 4)
Pd (0.250, 0.250, 0.000) (multiplicity 8)

Values from the calculation:
Calculated formation energy (eV per atom): -0.492



# 4
First-principles (PBE) data for crystalline PaAg3Se4 at its relaxed geometry, as listed in Alexandria.

Cell lengths 6.187, 6.187, 6.187 Å; angles 90.00, 90.00, 90.00 degrees
Space group P-43m (No. 215)
Unique sites:
Pa (0.000, 0.000, 0.000) (multiplicity 1)
Ag (0.000, 0.500, 0.500) (multiplicity 3)
Se (0.251, 0.251, 0.251) (multiplicity 4)

Values from the calculation:
Formation energy without anion corrections (meV per atom): -451



# 5
First-principles (PBE) data for crystalline PaAl11Tc at its relaxed geometry, as listed in Alexandria.

Cell lengths 5.260, 12.684, 7.065 Å; angles 90.00, 111.77, 90.00 degrees
Space group C2/m (No. 12)
Unique sites:
Pa (0.000, 0.000, 0.000) (multiplicity 2)
Al (0.000, 0.500, 0.500) (multiplicity 2)
Al (0.112, 0.394, 0.219) (multiplicity 8)
Al (0.165, 0.173, 0.358) (multiplicity 8)
Al (0.250, 0.250, 0.000) (multiplicity 4)
Tc (0.000, 0.000, 0.500) (multiplicity 2)

Values from the calculation:
Calculated formation energy (eV per atom): -0.205



# 6
First-principles (PBE) data for crystalline La2TbScAs4 at its relaxed geometry, as listed in Alexandria.

Cell lengths 7.255, 4.207, 7.275 Å; angles 90.00, 109.53, 90.00 degrees
Space group P2/m (No. 10)
Unique sites:
La (0.000, 0.000, 0.000) (multiplicity 1)
La (0.000, 0.500, 0.500) (multiplicity 1)
Tb (0.500, 0.000, 0.500) (multiplicity 1)
Sc (0.500, 0.500, 0.000) (multiplicity 1)
As (0.268, 0.500, 0.249) (multiplicity 2)
As (0.272, 0.000, 0.764) (multiplicity 2)

Values from the calculation:
Calculated formation energy (eV per atom): -1.479